Crystalline Re3Cl at its relaxed geometry. Source: the Alexandria database, functional PBE-GGA.

Relative energy among the computed polymorphs in meV/atom: 289
Spin magnetization in μB per formula unit: 0.000
Space-group type: Pmmn, No. 59

The structure in POSCAR format:
```
Re3Cl
1.0
-1.991 -2.127 -2.692
4.828 -3.217 -1.030
-2.141 -4.979 5.516
Re Cl
6 2
Direct
0.500 0.000 0.189
0.000 0.500 0.811
0.000 0.726 0.094
0.000 0.274 0.094
0.500 0.226 0.906
0.500 0.774 0.906
0.000 0.000 0.397
0.500 0.500 0.603
```